## Dy2Sc4In (PBE)

Data for an optimized crystal structure of Dy2Sc4In.

Lattice parameters (Å, degrees): 5.314 5.935 7.151 114.52 90.00 90.00
Last column: magnetic moment on the atom in μB.
Sites, in units of the cell vectors:
In (0.000, 0.500, 0.000)  0.00
Dy (0.500, 0.872, 0.744)  0.12
Dy (0.500, 0.128, 0.256)  0.12
Sc (0.500, 0.626, 0.252)  0.13
Sc (0.000, 0.733, 0.466)  0.06
Sc (0.500, 0.374, 0.748)  0.13
Sc (0.000, 0.267, 0.534)  0.06

Properties
- ΔE_f (eV per formula unit) = 3.4
- space group = No. 65
- total DFT energy (no corrections) (eV per atom) = -4.845
- total magnetization (μB/f.u.) = 0.77
- crystal system = orthorhombic

## Dy14ScTl (PBE)

Data for an optimized crystal structure of Dy14ScTl.

Lattice parameters (Å, degrees): 6.986 6.986 9.948 90.00 90.00 90.00
Sites, in units of the cell vectors:
Dy (0.127, 0.377, 0.246)
Dy (0.623, 0.377, 0.246)
Dy (0.375, 0.625, 0.500)
Dy (0.375, 0.125, 0.500)
Dy (0.127, 0.377, 0.754)
Dy (0.127, 0.873, 0.246)
Dy (0.875, 0.125, 0.500)
Dy (0.875, 0.625, 0.500)
Dy (0.623, 0.377, 0.754)
Dy (0.875, 0.625, 0.000)
Tl (0.875, 0.125, 0.000)
Dy (0.623, 0.873, 0.246)
Dy (0.127, 0.873, 0.754)
Dy (0.375, 0.125, 0.000)
Dy (0.623, 0.873, 0.754)
Sc (0.375, 0.625, 0.000)

Properties
- ΔE_f (eV per formula unit) = -0.2
- space group = No. 123
- total DFT energy (no corrections) (eV per atom) = -4.584
- total magnetization (μB/f.u.) = 0.00
- crystal system = tetragonal

## BeOsSe2Br (PBE)

Data for an optimized crystal structure of BeOsSe2Br.

Lattice parameters (Å, degrees): 4.471 4.471 4.483 90.00 90.00 90.00
Last column: magnetic moment on the atom in μB.
Sites, in units of the cell vectors:
Se (0.000, 0.500, 0.000)  0.00
Br (0.000, 0.000, 0.500)  0.02
Be (0.000, 0.000, 0.000)  0.00
Os (0.500, 0.500, 0.500)  0.28
Se (0.500, 0.000, 0.000)  0.00

Properties
- space group = No. 123
- offset from the most stable computed form (meV/atom) = 150
- E_form (uncorrected) (eV/atom) = 1.09
- total DFT energy (no corrections) (eV per atom) = -3.631
- total magnetization (μB/f.u.) = 0.33
- crystal system = tetragonal

## Pm2AlZn (PBE)

Data for an optimized crystal structure of Pm2AlZn.

Lattice parameters (Å, degrees): 3.650 3.650 7.508 90.00 90.00 90.00
Sites, in units of the cell vectors:
Pm (0.000, 0.000, 0.754)
Zn (0.500, 0.500, 0.000)
Pm (0.000, 0.000, 0.246)
Al (0.500, 0.500, 0.500)

Properties
- ΔE_f (eV per formula unit) = -1.4
- space group = No. 123
- total DFT energy (no corrections) (eV per atom) = -3.973
- total magnetization (μB/f.u.) = 0.00
- crystal system = tetragonal